Below is an optimized crystal structure of ZrCuAs2, with properties calculated at the PBE-GGA level.

a = 6.8758 Å, b = 3.8016 Å, c = 6.1024 Å
α = 90.00°, β = 104.42°, γ = 90.00°
Space group C2/m (No. 12)
Asymmetric unit:
Zr 0.0000 0.0000 0.0000 (multiplicity 2)
Cu 0.0000 0.5000 0.5000 (multiplicity 2)
As 0.2380 0.5000 0.2676 (multiplicity 4)

Output
Energy relative to the elements (eV/atom): -0.3098
Density (kg/m3): 6548
Fermi-level density of states (states/eV per atom): 0.700
M_tot (μB per atom): 0.000
Uncorrected energy (eV per atom): -5.796